## CeSc2Tc (PBE)

Data for a geometry-optimized CeSc2Tc structure.

Structure (POSCAR):
```
CeSc2Tc
1.0
-2.3430 2.0893 -0.1239
-2.6614 -0.7121 -1.5099
-5.5447 -3.3755 8.0969
Ce Sc Tc
1 2 1
Direct
0.0000 0.0000 0.0000 Ce
0.1022 0.1022 0.6935 Sc
0.8978 0.8978 0.3065 Sc
0.5000 0.5000 0.5000 Tc
```

Output
The value obtained for the formation energy is 6.5 kJ/mol of atoms. Its excess energy over the best structure of this formula in the dataset is 0.257 eV per atom. The total magnetic moment comes out at 0.001 μB/atom. The calculation puts the total DFT energy (no corrections) at -7.17 eV/atom.

## ThW2N8 (PBE)

Data for a geometry-optimized ThW2N8 structure.

Structure (POSCAR):
```
ThW2N8
1.0
4.7144 0.0000 0.0000
0.0000 4.7144 0.0000
0.0000 0.0000 6.1979
N W Th
8 2 1
Direct
0.2482 0.2482 0.7922 N
0.2482 0.7518 0.2078 N
0.2482 0.7518 0.7922 N
0.7518 0.2482 0.7922 N
0.7518 0.7518 0.7922 N
0.7518 0.2482 0.2078 N
0.2482 0.2482 0.2078 N
0.7518 0.7518 0.2078 N
0.0000 0.5000 0.0000 W
0.5000 0.0000 0.0000 W
0.5000 0.5000 0.5000 Th
```

Output
The total magnetic moment comes out at 0.000 μB/atom. The calculation puts the total DFT energy (no corrections) at -8.38 eV/atom.

## PaInTe3 (PBE)

Data for a geometry-optimized PaInTe3 structure.

Structure (POSCAR):
```
PaInTe3
1.0
5.9039 0.0000 0.0000
0.0000 5.9039 0.0000
0.0000 0.0000 5.9039
Te In Pa
3 1 1
Direct
0.0000 0.0000 0.5000 Te
0.0000 0.5000 0.0000 Te
0.5000 0.0000 0.0000 Te
0.5000 0.5000 0.5000 In
0.0000 0.0000 0.0000 Pa
```

Output
Its excess energy over the best structure of this formula in the dataset is 0.116 eV per atom. The total magnetic moment comes out at 0.036 μB/atom. The calculation puts the total DFT energy (no corrections) at -4.80 eV/atom.